1.
The following is a PBE-GGA calculation of Sm4Pb5 after structural relaxation, from OQMD via LeMat-Bulk.

Properties
- Total energy: -0.1675 hartree per atom

Unit cell a=8.0665 b=8.0665 c=8.0665 alpha=94.47 beta=94.47 gamma=147.57
Fractional positions:
Sm 0.3063 0.0000 0.3063
Sm 0.0000 0.3063 0.3063
Sm 0.6937 0.0000 0.6937
Sm 0.0000 0.6937 0.6937
Pb 0.6752 0.3248 0.0000
Pb 0.6752 0.6752 0.3505
Pb 0.3248 0.3248 0.6495
Pb 0.0000 0.0000 0.0000
Pb 0.3248 0.6752 0.0000

2.
The following is a PBE-GGA calculation of Sm2Pb after structural relaxation, from OQMD via LeMat-Bulk.

Properties
- Total energy: -0.1594 hartree per atom

Unit cell a=6.4031 b=6.4031 c=6.4031 alpha=60.00 beta=60.00 gamma=60.00
Fractional positions:
Sm 0.6250 0.6250 0.1250
Sm 0.1250 0.6250 0.6250
Sm 0.6250 0.6250 0.6250
Sm 0.6250 0.1250 0.6250
Pb 0.0000 0.0000 0.0000
Pb 0.2500 0.2500 0.2500

3.
The following is a PBE-GGA calculation of Sm2Pb after structural relaxation, from OQMD via LeMat-Bulk.

Properties
- Total energy: -0.1121 hartree per atom

Unit cell a=9.6804 b=9.6804 c=9.6804 alpha=60.00 beta=60.00 gamma=60.00
Fractional positions:
Sm 0.8750 0.3750 0.3750
Sm 0.3750 0.3750 0.8750
Sm 0.3750 0.8750 0.3750
Sm 0.3750 0.3750 0.3750
Pb 0.5000 0.5000 0.5000
Pb 0.2500 0.2500 0.2500

4.
The following is a PBE-GGA calculation of Sm4SnPb2 after structural relaxation, from OQMD via LeMat-Bulk.

Properties
- Total energy: -0.1822 hartree per atom

Unit cell a=8.2732 b=8.2732 c=9.5572 alpha=125.28 beta=125.28 gamma=70.45
Fractional positions:
Pb 0.1250 0.3749 0.6257
Pb 0.5007 0.2508 0.1257
Pb 0.6251 0.8750 0.3743
Pb 0.7492 0.4993 0.8743
Sm 0.8774 0.9847 0.2495
Sm 0.3723 0.7651 0.8871
Sm 0.8781 0.4851 0.2504
Sm 0.0153 0.1226 0.7505
Sm 0.3720 0.2648 0.3873
Sm 0.5149 0.1219 0.7496
Sm 0.7352 0.6280 0.6127
Sm 0.2349 0.6277 0.1129
Sn 0.2499 0.7501 0.5000
Sn 0.0001 0.9999 0.0000

5.
The following is a PBE-GGA calculation of SmSnTe3Pb after structural relaxation, from OQMD via LeMat-Bulk.

Properties
- Total energy: -0.1545 hartree per atom

Unit cell a=8.0681 b=8.0681 c=11.0794 alpha=90.00 beta=90.00 gamma=147.76
Fractional positions:
Te 0.6467 0.3533 0.5348
Te 0.8794 0.1206 0.7500
Te 0.3533 0.6467 0.4652
Te 0.6467 0.3533 0.9652
Te 0.3533 0.6467 0.0348
Te 0.1206 0.8794 0.2500
Sn 0.5229 0.4771 0.7500
Sn 0.4771 0.5229 0.2500
Sm 0.0000 0.0000 0.5000
Sm 0.0000 0.0000 0.0000
Pb 0.7780 0.2220 0.2500
Pb 0.2220 0.7780 0.7500

6.
The following is a PBE-GGA calculation of SrSmPb after structural relaxation, from OQMD via LeMat-Bulk.

Properties
- Total energy: -0.1339 hartree per atom

Unit cell a=5.4700 b=5.4700 c=5.4700 alpha=60.00 beta=60.00 gamma=60.00
Fractional positions:
Pb 0.0000 0.0000 0.0000
Sr 0.7500 0.7500 0.7500
Sm 0.2500 0.2500 0.2500

7.
The following is a PBE-GGA calculation of SmTaPb after structural relaxation, from OQMD via LeMat-Bulk.

Properties
- Total energy: -0.2066 hartree per atom
- Relative energy among the computed polymorphs: 473 meV per atom

Unit cell a=5.1067 b=5.1067 c=5.1067 alpha=60.00 beta=60.00 gamma=60.00
Fractional positions:
Ta 0.7500 0.7500 0.7500
Sm 0.0000 0.0000 0.0000
Pb 0.2500 0.2500 0.2500

8.
The following is a PBE-GGA calculation of SmTaPb after structural relaxation, from OQMD via LeMat-Bulk.

Properties
- Total energy: -0.2240 hartree per atom
- Relative energy among the computed polymorphs: 0 meV per atom

Unit cell a=4.9308 b=4.9308 c=4.9308 alpha=60.00 beta=60.00 gamma=60.00
Last column: magnetic moment on the atom in μB.
Fractional positions:
Sm 0.2500 0.2500 0.2500  0.06
Ta 0.7500 0.7500 0.7500  0.64
Pb 0.0000 0.0000 0.0000  -0.01

The lowest total energy belongs to which entry?
number 8

What is the total energy in the fifth record?
-0.1545 hartree per atom

Which value of total energy does entry 2 give?
-0.1594 hartree per atom

Which of these has the highest total energy?
number 3